# 1
The following is a PBE-GGA calculation of V2Ag2PdS6 after structural relaxation, from Alexandria.

The value obtained for the total energy is -5.367 eV/atom. The calculation puts the uncorrected formation energy at -467 meV per atom.

The structure belongs to space group C2/m (No. 12); the cell edges are 6.157, 10.335 and 7.376 Å and the angles 90.00°, 102.74° and 90.00°. Symmetry generates all atoms from V at (0.000, 0.139, 0.000), Ag at (0.000, 0.345, 0.500), Pd at (0.000, 0.500, 0.000), S at (0.092, 0.000, 0.792) and S at (0.119, 0.326, 0.828).

# 2
The following is a PBE-GGA calculation of La5Ge2RhN after structural relaxation, from Alexandria.

The value obtained for the total energy is -6.396 eV/atom. The calculation puts the uncorrected formation energy at -890 meV per atom.

The structure belongs to space group Cmc2_1 (No. 36); the cell edges are 4.714, 17.983 and 10.953 Å and the angles 90.00°, 90.00° and 90.00°. Symmetry generates all atoms from La at (0.000, 0.025, 0.000), La at (0.000, 0.264, 0.723), La at (0.000, 0.336, 0.418), La at (0.000, 0.363, 0.033), La at (0.000, 0.470, 0.755), Ge at (0.000, 0.092, 0.727), Ge at (0.000, 0.146, 0.330), Rh at (0.000, 0.182, 0.091) and N at (0.000, 0.497, 0.973).

# 3
The following is a PBE-GGA calculation of LiTe2F after structural relaxation, from Alexandria.

The value obtained for the total energy is -3.149 eV/atom. The energy above the lowest structure with this stoichiometry is 141.5 meV per atom. The calculation puts the uncorrected formation energy at -632 meV per atom.

The structure belongs to space group Fm-3m (No. 225); the cell edges are 6.725, 6.725 and 6.725 Å and the angles 90.00°, 90.00° and 90.00°. Symmetry generates all atoms from Li at (0.000, 0.000, 0.000), Te at (0.250, 0.250, 0.250) and F at (0.000, 0.000, 0.500).